AcInAgPt3: relaxed, GGA-PBE. Values from VASP.

Computed properties:
Fermi-level density of states in states/eV/cell: 3.33
Magnetization in μB per atom: 0.00
ΔH_f (0 K) in eV/f.u.: -2.6
SG: Cmcm, No. 63
Electronic total energy in eV/atom: -5.08

Cell and atoms, written as Quantum ESPRESSO input:
```
&SYSTEM
  ibrav = 0, nat = 12, ntyp = 4
/
ATOMIC_SPECIES
Ac 227.00 Ac.upf
In 114.82 In.upf
Ag 107.87 Ag.upf
Pt 195.08 Pt.upf
CELL_PARAMETERS angstrom
2.974 -6.129 0.000
2.974 6.129 0.000
0.000 0.000 7.570
ATOMIC_POSITIONS crystal
Ac 0.164 0.836 0.750
Ac 0.836 0.164 0.250
In 0.132 0.868 0.250
In 0.868 0.132 0.750
Ag 0.411 0.589 0.750
Ag 0.589 0.411 0.250
Pt 0.236 0.236 0.000
Pt 0.236 0.236 0.500
Pt 0.352 0.648 0.250
Pt 0.648 0.352 0.750
Pt 0.764 0.764 0.000
Pt 0.764 0.764 0.500
```

Ac2In12AgPt3: relaxed, GGA-PBE. Values from VASP.

Computed properties:
Fermi-level density of states in states/eV/cell: 8.29
Magnetization in μB per atom: 0.00
ΔH_f (0 K) in eV/f.u.: -2.3
SG: R-3m, No. 166
Electronic total energy in eV/atom: -3.58

Cell and atoms, written as Quantum ESPRESSO input:
```
&SYSTEM
  ibrav = 0, nat = 18, ntyp = 4
/
ATOMIC_SPECIES
Ac 227.00 Ac.upf
In 114.82 In.upf
Ag 107.87 Ag.upf
Pt 195.08 Pt.upf
CELL_PARAMETERS angstrom
4.955 2.861 6.440
-4.955 2.861 6.440
0.000 -5.721 6.440
ATOMIC_POSITIONS crystal
Ac 0.095 0.095 0.095
Ac 0.905 0.905 0.905
In 0.130 0.642 0.642
In 0.213 0.213 0.630
In 0.213 0.630 0.213
In 0.358 0.358 0.870
In 0.358 0.870 0.358
In 0.370 0.787 0.787
In 0.630 0.213 0.213
In 0.642 0.130 0.642
In 0.642 0.642 0.130
In 0.787 0.370 0.787
In 0.787 0.787 0.370
In 0.870 0.358 0.358
Ag 0.500 0.500 0.500
Pt 0.000 0.500 0.500
Pt 0.500 0.000 0.500
Pt 0.500 0.500 0.000
```

AcInAgRh: relaxed, GGA-PBE. Values from VASP.

Computed properties:
Energy above the lowest structure with this stoichiometry in kJ/mol of atoms: 0.00
Fermi-level density of states in states/eV/cell: 1.92
Magnetization in μB per atom: 0.00
ΔH_f (0 K) in eV/f.u.: -1.7
SG: Cm, No. 8
Electronic total energy in eV/atom: -4.70

Cell and atoms, written as Quantum ESPRESSO input:
```
&SYSTEM
  ibrav = 0, nat = 4, ntyp = 4
/
ATOMIC_SPECIES
Ac 227.00 Ac.upf
In 114.82 In.upf
Ag 107.87 Ag.upf
Rh 102.91 Rh.upf
CELL_PARAMETERS angstrom
4.098 -2.367 0.000
4.098 2.367 0.000
-2.741 0.000 5.104
ATOMIC_POSITIONS crystal
Ac 0.000 0.000 0.000
In 0.518 0.518 0.554
Ag 0.791 0.791 0.373
Rh 0.207 0.207 0.620
```

AcInAgRh: relaxed, GGA-PBE. Values from VASP.

Computed properties:
Energy above the lowest structure with this stoichiometry in kJ/mol of atoms: 14.35
Fermi-level density of states in states/eV/cell: 3.64
Magnetization in μB per atom: 0.00
ΔH_f (0 K) in eV/f.u.: -1.1
SG: F-43m, No. 216
Electronic total energy in eV/atom: -4.55

Cell and atoms, written as Quantum ESPRESSO input:
```
&SYSTEM
  ibrav = 0, nat = 4, ntyp = 4
/
ATOMIC_SPECIES
Ac 227.00 Ac.upf
In 114.82 In.upf
Ag 107.87 Ag.upf
Rh 102.91 Rh.upf
CELL_PARAMETERS angstrom
0.000 3.611 3.611
3.611 0.000 3.611
3.611 3.611 0.000
ATOMIC_POSITIONS crystal
Ac 0.000 0.000 0.000
In 0.500 0.500 0.500
Ag 0.750 0.750 0.750
Rh 0.250 0.250 0.250
```

AcInAg2S4: relaxed, GGA-PBE. Values from VASP.

Computed properties:
Fermi-level density of states in states/eV/cell: 1.75
Magnetization in μB per atom: 0.00
Formation energy (no corrections) in eV/atom: -0.769
SG: C2/c, No. 15
Electronic total energy in eV/atom: -4.40

Cell and atoms, written as Quantum ESPRESSO input:
```
&SYSTEM
  ibrav = 0, nat = 16, ntyp = 4
/
ATOMIC_SPECIES
Ac 227.00 Ac.upf
In 114.82 In.upf
Ag 107.87 Ag.upf
S 32.06 S.upf
CELL_PARAMETERS angstrom
5.376 -5.849 0.000
5.376 5.849 0.000
-4.909 0.000 6.088
ATOMIC_POSITIONS crystal
Ac 0.000 0.500 0.000
Ac 0.500 0.000 0.500
In 0.000 0.000 0.000
In 0.000 0.000 0.500
Ag 0.000 0.500 0.500
Ag 0.500 0.000 0.000
Ag 0.500 0.500 0.000
Ag 0.500 0.500 0.500
S 0.207 0.751 0.491
S 0.229 0.239 0.428
S 0.239 0.229 0.928
S 0.249 0.793 0.009
S 0.751 0.207 0.991
S 0.761 0.771 0.072
S 0.771 0.761 0.572
S 0.793 0.249 0.509
```

Ac2ScIn4Ag3: relaxed, GGA-PBE. Values from VASP.

Computed properties:
Fermi-level density of states in states/eV/cell: 8.03
Magnetization in μB per atom: 0.00
ΔH_f (0 K) in eV/f.u.: -3.3
SG: P-4m2, No. 115
Electronic total energy in eV/atom: -3.73

Cell and atoms, written as Quantum ESPRESSO input:
```
&SYSTEM
  ibrav = 0, nat = 10, ntyp = 4
/
ATOMIC_SPECIES
Ac 227.00 Ac.upf
Sc 44.96 Sc.upf
In 114.82 In.upf
Ag 107.87 Ag.upf
CELL_PARAMETERS angstrom
4.629 0.000 0.000
0.000 4.629 0.000
0.000 0.000 12.463
ATOMIC_POSITIONS crystal
Ac 0.000 0.500 0.244
Ac 0.500 0.000 0.756
Sc 0.000 0.000 0.500
In 0.000 0.000 0.000
In 0.000 0.500 0.644
In 0.500 0.000 0.356
In 0.500 0.500 0.000
Ag 0.000 0.500 0.865
Ag 0.500 0.000 0.135
Ag 0.500 0.500 0.500
```

AcSmInAg: relaxed, GGA-PBE. Values from VASP.

Computed properties:
Energy above the lowest structure with this stoichiometry in kJ/mol of atoms: 2.83
Fermi-level density of states in states/eV/cell: 4.05
Magnetization in μB per atom: 0.00
ΔH_f (0 K) in eV/f.u.: -1.3
SG: F-43m, No. 216
Electronic total energy in eV/atom: -3.93

Cell and atoms, written as Quantum ESPRESSO input:
```
&SYSTEM
  ibrav = 0, nat = 4, ntyp = 4
/
ATOMIC_SPECIES
Ac 227.00 Ac.upf
Sm 150.36 Sm.upf
In 114.82 In.upf
Ag 107.87 Ag.upf
CELL_PARAMETERS angstrom
0.000 3.926 3.926
3.926 0.000 3.926
3.926 3.926 0.000
ATOMIC_POSITIONS crystal
Ac 0.000 0.000 0.000
Sm 0.500 0.500 0.500
In 0.750 0.750 0.750
Ag 0.250 0.250 0.250
```

AcSmInAg: relaxed, GGA-PBE. Values from VASP.

Computed properties:
Energy above the lowest structure with this stoichiometry in kJ/mol of atoms: 0.00
Fermi-level density of states in states/eV/cell: 4.42
Magnetization in μB per atom: 0.00
ΔH_f (0 K) in eV/f.u.: -1.4
SG: P4mm, No. 99
Electronic total energy in eV/atom: -3.96

Cell and atoms, written as Quantum ESPRESSO input:
```
&SYSTEM
  ibrav = 0, nat = 4, ntyp = 4
/
ATOMIC_SPECIES
Ac 227.00 Ac.upf
Sm 150.36 Sm.upf
In 114.82 In.upf
Ag 107.87 Ag.upf
CELL_PARAMETERS angstrom
3.837 0.000 0.000
0.000 3.837 0.000
0.000 0.000 8.083
ATOMIC_POSITIONS crystal
Ac 0.000 0.000 0.000
Sm 0.000 0.000 0.520
In 0.500 0.500 0.282
Ag 0.500 0.500 0.726
```

Ac2In4Ag3Sn: relaxed, GGA-PBE. Values from VASP.

Computed properties:
Fermi-level density of states in states/eV/cell: 4.98
Magnetization in μB per atom: 0.00
ΔH_f (0 K) in eV/f.u.: -3.4
SG: P-4m2, No. 115
Electronic total energy in eV/atom: -3.51

Cell and atoms, written as Quantum ESPRESSO input:
```
&SYSTEM
  ibrav = 0, nat = 10, ntyp = 4
/
ATOMIC_SPECIES
Ac 227.00 Ac.upf
In 114.82 In.upf
Ag 107.87 Ag.upf
Sn 118.71 Sn.upf
CELL_PARAMETERS angstrom
4.714 0.000 0.000
0.000 4.714 0.000
0.000 0.000 11.999
ATOMIC_POSITIONS crystal
Ac 0.000 0.500 0.246
Ac 0.500 0.000 0.754
In 0.000 0.000 0.000
In 0.000 0.500 0.643
In 0.500 0.000 0.357
In 0.500 0.500 0.000
Ag 0.000 0.500 0.868
Ag 0.500 0.000 0.132
Ag 0.500 0.500 0.500
Sn 0.000 0.000 0.500
```

Ac2In6AgSn: relaxed, GGA-PBE. Values from VASP.

Computed properties:
Fermi-level density of states in states/eV/cell: 14.23
Magnetization in μB per atom: 0.00
ΔH_f (0 K) in eV/f.u.: -1.6
SG: R-3m, No. 166
Electronic total energy in eV/atom: -3.31

Cell and atoms, written as Quantum ESPRESSO input:
```
&SYSTEM
  ibrav = 0, nat = 20, ntyp = 4
/
ATOMIC_SPECIES
Ac 227.00 Ac.upf
In 114.82 In.upf
Ag 107.87 Ag.upf
Sn 118.71 Sn.upf
CELL_PARAMETERS angstrom
3.141 1.814 18.998
-3.141 1.814 18.998
0.000 -3.627 18.998
ATOMIC_POSITIONS crystal
Ac 0.097 0.097 0.097
Ac 0.320 0.320 0.320
Ac 0.680 0.680 0.680
Ac 0.903 0.903 0.903
In 0.116 0.636 0.636
In 0.207 0.207 0.712
In 0.207 0.712 0.207
In 0.288 0.793 0.793
In 0.364 0.364 0.884
In 0.364 0.884 0.364
In 0.636 0.116 0.636
In 0.636 0.636 0.116
In 0.712 0.207 0.207
In 0.793 0.288 0.793
In 0.793 0.793 0.288
In 0.884 0.364 0.364
Ag 0.000 0.000 0.000
Ag 0.500 0.500 0.500
Sn 0.420 0.420 0.420
Sn 0.580 0.580 0.580
```

Ac2InAg4Sn3: relaxed, GGA-PBE. Values from VASP.

Computed properties:
Fermi-level density of states in states/eV/cell: 4.58
Magnetization in μB per atom: 0.00
ΔH_f (0 K) in eV/f.u.: -4.2
SG: P-4m2, No. 115
Electronic total energy in eV/atom: -3.86

Cell and atoms, written as Quantum ESPRESSO input:
```
&SYSTEM
  ibrav = 0, nat = 10, ntyp = 4
/
ATOMIC_SPECIES
Ac 227.00 Ac.upf
In 114.82 In.upf
Ag 107.87 Ag.upf
Sn 118.71 Sn.upf
CELL_PARAMETERS angstrom
4.712 0.000 0.000
0.000 4.712 0.000
0.000 0.000 11.709
ATOMIC_POSITIONS crystal
Ac 0.000 0.500 0.242
Ac 0.500 0.000 0.758
In 0.000 0.000 0.500
Ag 0.000 0.000 0.000
Ag 0.000 0.500 0.637
Ag 0.500 0.000 0.363
Ag 0.500 0.500 0.000
Sn 0.000 0.500 0.869
Sn 0.500 0.000 0.131
Sn 0.500 0.500 0.500
```

AcIn2Ag2Sn: relaxed, GGA-PBE. Values from VASP.

Computed properties:
Fermi-level density of states in states/eV/cell: 4.38
Magnetization in μB per atom: 0.00
ΔH_f (0 K) in eV/f.u.: 0.0
SG: I4/mmm, No. 139
Electronic total energy in eV/atom: -3.22

Cell and atoms, written as Quantum ESPRESSO input:
```
&SYSTEM
  ibrav = 0, nat = 6, ntyp = 4
/
ATOMIC_SPECIES
Ac 227.00 Ac.upf
In 114.82 In.upf
Ag 107.87 Ag.upf
Sn 118.71 Sn.upf
CELL_PARAMETERS angstrom
-2.689 2.689 6.190
2.689 -2.689 6.190
2.689 2.689 -6.190
ATOMIC_POSITIONS crystal
Ac 0.000 0.000 0.000
In 0.250 0.750 0.500
In 0.750 0.250 0.500
Ag 0.281 0.281 0.000
Ag 0.719 0.719 0.000
Sn 0.500 0.500 0.000
```

Number 1: ρ 12.5 g cm⁻³. Number 2: ρ 7.7 g cm⁻³. Number 3: ρ 9.3 g cm⁻³. Number 4: ρ 9.7 g cm⁻³. Number 5: ρ 5.9 g cm⁻³. Number 6: ρ 8.0 g cm⁻³. Number 7: ρ 8.2 g cm⁻³. Number 8: ρ 8.4 g cm⁻³. Number 9: ρ 8.4 g cm⁻³. Number 10: ρ 7.0 g cm⁻³. Number 11: ρ 8.7 g cm⁻³. Number 12: ρ 7.3 g cm⁻³.